[1]
# KSc2Ga PBE relaxed
# Energy of formation = 59 kJ per mole of atoms
# Calculated total energy = -3.5862 eV per atom
data_KSc2Ga
_cell_length_a 5.989
_cell_length_b 5.989
_cell_length_c 18.111
_cell_angle_alpha 90.00
_cell_angle_beta 90.00
_cell_angle_gamma 90.00
_symmetry_space_group_name_H-M 'I 41/a m d'
_symmetry_Int_Tables_number 141
loop_
_symmetry_equiv_pos_as_xyz
'x,y,z'
'-x,-y,-z'
'-y+1/4,x+3/4,z+1/4'
'y+1/4,-x+3/4,-z+1/4'
'-x+1/2,-y,z+1/2'
'x+1/2,y,-z+1/2'
'y+1/4,-x+1/4,z+3/4'
'-y+1/4,x+1/4,-z+3/4'
'x,-y,-z'
'-x,y,z'
'-y+1/4,-x+1/4,-z+3/4'
'y+1/4,x+1/4,z+3/4'
'-x+1/2,y,-z+1/2'
'x+1/2,-y,z+1/2'
'y+1/4,x+3/4,-z+1/4'
'-y+1/4,-x+3/4,z+1/4'
'x+1/2,y+1/2,z+1/2'
'-x+1/2,-y+1/2,-z+1/2'
'-y+3/4,x+1/4,z+3/4'
'y+3/4,-x+1/4,-z+3/4'
'-x,-y+1/2,z'
'x,y+1/2,-z'
'y+3/4,-x+3/4,z+1/4'
'-y+3/4,x+3/4,-z+1/4'
'x+1/2,-y+1/2,-z+1/2'
'-x+1/2,y+1/2,z+1/2'
'-y+3/4,-x+3/4,-z+1/4'
'y+3/4,x+3/4,z+1/4'
'-x,y+1/2,-z'
'x,-y+1/2,z'
'y+3/4,x+1/4,-z+3/4'
'-y+3/4,-x+1/4,z+3/4'
loop_
_atom_site_label
_atom_site_fract_x
_atom_site_fract_y
_atom_site_fract_z
K1 0.000 0.250 0.375
Sc1 0.000 0.000 0.000
Ga1 0.000 0.250 0.875



[2]
# ScGa2Te4 PBE relaxed
# Raw formation energy = -0.236 eV per atom
# Energy relative to the lowest polymorph listed for this composition = 187 meV/atom
# Calculated total energy = -3.8007 eV per atom
data_ScGa2Te4
_cell_length_a 5.674
_cell_length_b 5.674
_cell_length_c 13.815
_cell_angle_alpha 90.00
_cell_angle_beta 90.00
_cell_angle_gamma 90.00
_symmetry_space_group_name_H-M 'I 4/m m m'
_symmetry_Int_Tables_number 139
_symmetry_space_group_name_Hall '-I 4 2'
loop_
_atom_site_label
_atom_site_fract_x
_atom_site_fract_y
_atom_site_fract_z
Sc1 0.000 0.000 0.000
Ga1 0.000 0.000 0.402
Te1 0.000 0.000 0.209
Te2 0.000 0.500 0.000



[3]
# CuAs2P PBE relaxed
# Energy of formation = 20 kJ per mole of atoms
# Calculated total energy = -4.4935 eV per atom
data_CuAs2P
_cell_length_a 7.146
_cell_length_b 7.134
_cell_length_c 2.707
_cell_angle_alpha 90.00
_cell_angle_beta 91.07
_cell_angle_gamma 90.00
_symmetry_space_group_name_H-M 'C 1 2/m 1'
_symmetry_Int_Tables_number 12
loop_
_symmetry_equiv_pos_as_xyz
'x,y,z'
'-x,-y,-z'
'-x,y,-z'
'x,-y,z'
'x+1/2,y+1/2,z'
'-x+1/2,-y+1/2,-z'
'-x+1/2,y+1/2,-z'
'x+1/2,-y+1/2,z'
loop_
_atom_site_label
_atom_site_fract_x
_atom_site_fract_y
_atom_site_fract_z
Cu1 0.000 0.000 0.000
As1 0.250 0.250 0.000
P1 0.000 0.500 0.000



[4]
# ZrTlFe3 PBE relaxed
# Energy of formation = 142 kJ per mole of atoms
# Energy relative to the lowest polymorph listed for this composition = 70 meV/atom
# Calculated total energy = -5.7864 eV per atom
data_ZrTlFe3
_cell_length_a 4.791
_cell_length_b 4.791
_cell_length_c 4.791
_cell_angle_alpha 90.00
_cell_angle_beta 90.00
_cell_angle_gamma 90.00
_symmetry_space_group_name_H-M 'P m -3 m'
_symmetry_Int_Tables_number 221
_symmetry_space_group_name_Hall '-P 4 2 3'
loop_
_atom_site_label
_atom_site_fract_x
_atom_site_fract_y
_atom_site_fract_z
Zr1 0.000 0.000 0.000
Tl1 0.500 0.500 0.500
Fe1 0.000 0.500 0.500



[5]
# Sr3AgPd PBE relaxed
# Energy of formation = -36 kJ per mole of atoms
# Energy relative to the lowest polymorph listed for this composition = 0 meV/atom
# Calculated total energy = -2.9960 eV per atom
data_Sr3AgPd
_cell_length_a 9.933
_cell_length_b 8.097
_cell_length_c 9.162
_cell_angle_alpha 90.00
_cell_angle_beta 108.02
_cell_angle_gamma 90.00
_symmetry_space_group_name_H-M 'P 1 21/c 1'
_symmetry_Int_Tables_number 14
loop_
_symmetry_equiv_pos_as_xyz
'x,y,z'
'-x,-y,-z'
'-x,y+1/2,-z+1/2'
'x,-y+1/2,z+1/2'
loop_
_atom_site_label
_atom_site_fract_x
_atom_site_fract_y
_atom_site_fract_z
Sr1 0.069 0.003 0.219
Sr2 0.307 0.163 0.619
Sr3 0.357 0.691 0.514
Ag1 0.051 0.668 0.026
Pd1 0.408 0.027 0.341



[6]
# Li4Sn3Bi2 PBE relaxed
# Energy of formation = -26 kJ per mole of atoms
# Calculated total energy = -3.3194 eV per atom
data_Li4Sn3Bi2
_cell_length_a 4.396
_cell_length_b 5.223
_cell_length_c 10.359
_cell_angle_alpha 100.72
_cell_angle_beta 90.13
_cell_angle_gamma 114.46
_symmetry_space_group_name_H-M 'P -1'
_symmetry_Int_Tables_number 2
loop_
_symmetry_equiv_pos_as_xyz
'x,y,z'
'-x,-y,-z'
loop_
_atom_site_label
_atom_site_fract_x
_atom_site_fract_y
_atom_site_fract_z
Li1 0.003 0.007 0.184
Li2 0.333 0.665 0.602
Sn1 0.000 0.000 0.500
Sn2 0.328 0.659 0.937
Bi1 0.334 0.668 0.293



[7]
# NdY2Rh PBE relaxed
# Energy of formation = -44 kJ per mole of atoms
# Energy relative to the lowest polymorph listed for this composition = 27 meV/atom
# Calculated total energy = -6.7193 eV per atom
data_NdY2Rh
_cell_length_a 3.798
_cell_length_b 12.294
_cell_length_c 9.582
_cell_angle_alpha 90.00
_cell_angle_beta 90.00
_cell_angle_gamma 90.00
_symmetry_space_group_name_H-M 'C m c m'
_symmetry_Int_Tables_number 63
_symmetry_space_group_name_Hall '-C 2c 2'
loop_
_atom_site_label
_atom_site_fract_x
_atom_site_fract_y
_atom_site_fract_z
Nd1 0.000 0.076 0.250
Y1 0.000 0.360 0.069
Rh1 0.000 0.243 0.750



[8]
# CeNdBi2 PBE relaxed
# Energy of formation = -67 kJ per mole of atoms
# Energy relative to the lowest polymorph listed for this composition = 181 meV/atom
# Calculated total energy = -5.3103 eV per atom
data_CeNdBi2
_cell_length_a 4.202
_cell_length_b 4.202
_cell_length_c 6.967
_cell_angle_alpha 90.00
_cell_angle_beta 90.00
_cell_angle_gamma 90.00
_symmetry_space_group_name_H-M 'P 4/m m m'
_symmetry_Int_Tables_number 123
_symmetry_space_group_name_Hall '-P 4 2'
loop_
_atom_site_label
_atom_site_fract_x
_atom_site_fract_y
_atom_site_fract_z
Ce1 0.000 0.000 0.000
Nd1 0.000 0.000 0.500
Bi1 0.500 0.500 0.249



| no. | Fermi-level density of states (states/eV per atom) |
| --- | --- |
| 1 | 0.908 |
| 2 | 0.716 |
| 3 | 0.344 |
| 4 | 1.534 |
| 5 | 0.547 |
| 6 | 0.337 |
| 7 | 1.268 |
| 8 | 1.921 |